12
Lattice="3.5521 0.0000 1.0043 1.3945 7.2708 1.8518 0.2688 0.3674 5.8333" Properties=species:S:1:pos:R:3 comment="Fe5Ni5Pt2 | the Alexandria database | PBE | optimized geometry" ef_mev_per_atom=-102 spacegroup="C2/m (12)" volume_a3_per_cell=146.8 dft_energy_ev_per_atom=-7.04 dos_ef_per_ev_atom=0.774 pbc="T T T"
Ni 2.6077 3.8191 4.3447
Ni 3.1337 5.5689 2.4843
Ni 2.6638 7.3913 4.1462
Ni 2.5516 0.2469 4.5431
Ni 2.0817 2.0692 6.2051
Fe 0.0000 0.0000 0.0000
Fe 0.7857 1.9472 4.0049
Fe 2.1313 5.8247 6.0297
Fe 4.4297 5.6909 4.6844
Fe 3.0841 1.8134 2.6597
Pt 3.9007 3.9697 6.5555
Pt 1.3147 3.6684 2.1339